Entry from Alexandria: a geometry-optimized ZrPtCl3 structure (PBE).

The structure belongs to space group Pm-3m (No. 221); the cell edges are 4.989, 4.989 and 4.989 Å and the angles 90.00°, 90.00° and 90.00°. The inequivalent atoms are Zr at (0.000, 0.000, 0.000), Pt at (0.500, 0.500, 0.500) and Cl at (0.000, 0.000, 0.500).

As for the density of states at the Fermi level: 0.950 states/eV per atom. For the formation energy without anion corrections, the calculation gives -278 meV/atom. Its calculated volume is 124 Å³ per cell. Its energy above the most stable polymorph in this dataset is 0 meV per atom. As for the spin magnetization: 0.00 μB per formula unit.